Compound: Ta2Mn
Source: the Alexandria database
Functional: GGA-PBE
Structure: relaxed

The calculation puts the density of states at the Fermi level at 1.74 states/eV/atom. The spin magnetization comes out at 0.84 μB per atom. For the formation energy, the calculation gives 605 meV per atom.

The space group is Fd-3m (No. 227, origin choice 2) and the conventional cell measures 7.610, 7.610 and 7.610 Å, with angles of 90.00, 90.00 and 90.00 degrees. Symmetry generates all atoms from Ta at (0.000, 0.000, 0.000) and Mn at (0.125, 0.125, 0.625).

=====

Compound: Ho6BiP3Se2
Source: the Alexandria database
Functional: GGA-PBE
Structure: relaxed

The calculation puts the density of states at the Fermi level at 0.34 states/eV/atom. The spin magnetization comes out at 0.00 μB per atom. The calculation puts the energy relative to the elements, uncorrected at -1.565 eV per atom.

The space group is C2/m (No. 12) and the conventional cell measures 17.927, 4.060 and 8.261 Å, with angles of 90.00, 104.46 and 90.00 degrees. Symmetry generates all atoms from Ho at (0.004, 0.000, 0.229), Ho at (0.163, 0.500, 0.095), Ho at (0.175, 0.500, 0.573), Bi at (0.000, 0.500, 0.500), P at (0.000, 0.500, 0.000), P at (0.166, 0.000, 0.331) and Se at (0.169, 0.000, 0.836).

=====

Compound: Hf5AlPt
Source: the Alexandria database
Functional: GGA-PBE
Structure: relaxed

The calculation puts the density of states at the Fermi level at 0.82 states/eV/atom. The spin magnetization comes out at 0.00 μB per atom. For the formation energy, the calculation gives -318 meV per atom.

The space group is C2/c (No. 15) and the conventional cell measures 10.847, 10.082 and 5.493 Å, with angles of 90.00, 106.91 and 90.00 degrees. Symmetry generates all atoms from Hf at (0.000, 0.228, 0.250), Hf at (0.140, 0.307, 0.823), Hf at (0.243, 0.084, 0.583), Al at (0.000, 0.058, 0.750) and Pt at (0.000, 0.500, 0.000).